The following is a DFT calculation (PBE with a Hubbard U) of a geometry-optimized ZrCrP2O structure.

Results
- spin magnetization (Bohr magnetons per cell) = 2.9
- final energy (Ha/atom) = -0.246

Cell and atoms, written as POSCAR:
```
ZrCrP2O
1.0
-3.607 -0.594 3.679
-2.110 -3.894 -2.698
2.363 -2.595 1.898
P O Zr Cr
2 1 1 1
direct
0.000 0.500 0.000 P
0.500 0.000 0.000 P
0.000 0.000 0.500 O
0.000 0.000 0.000 Zr
0.500 0.500 0.500 Cr
```